Computed, not measured: crystalline Rb2LiAgF6 at its relaxed geometry at the PBE level of DFT.

It has space group Fm-3m (No. 225), with a = 8.5226 Å, b = 8.5226 Å, c = 8.5226 Å, α = 90.00°, β = 90.00° and γ = 90.00°. The asymmetric unit holds Rb at (0.2500, 0.2500, 0.2500), Li at (0.0000, 0.0000, 0.0000), Ag at (0.0000, 0.0000, 0.5000) and F at (0.0000, 0.0000, 0.2498).

The calculation puts the raw formation energy at -2.152 eV/atom. Its calculated volume is 154.8 Å³/f.u. The value obtained for the total moment is 8.0 Bohr magnetons per cell.

***

Computed, not measured: crystalline RbLiAg2F4 at its relaxed geometry at the PBE level of DFT.

It has space group C2/c (No. 15), with a = 9.8218 Å, b = 10.2328 Å, c = 7.1895 Å, α = 90.00°, β = 130.91° and γ = 90.00°. The asymmetric unit holds Rb at (0.2500, 0.2500, 0.0000), Li at (0.0000, 0.0000, 0.0000), Ag at (0.0000, 0.5000, 0.0000), Ag at (0.2500, 0.2500, 0.5000), F at (0.0240, 0.1947, 0.4999) and F at (0.2311, 0.0071, 0.3542).

The calculation puts the raw formation energy at -1.810 eV/atom. Its calculated volume is 136.5 Å³/f.u. The value obtained for the total moment is 0.0 Bohr magnetons per cell.

***

Computed, not measured: crystalline RbLi2AgF4 at its relaxed geometry at the PBE level of DFT.

It has space group P4/mmm (No. 123), with a = 3.9922 Å, b = 3.9922 Å, c = 7.3732 Å, α = 90.00°, β = 90.00° and γ = 90.00°. The asymmetric unit holds Rb at (0.0000, 0.0000, 0.0000), Li at (0.5000, 0.5000, 0.2889), Ag at (0.0000, 0.0000, 0.5000) and F at (0.0000, 0.5000, 0.2732).

The calculation puts the raw formation energy at -2.259 eV/atom. Its calculated volume is 117.5 Å³/f.u. The value obtained for the total moment is 0.0 Bohr magnetons per cell.

***

Computed, not measured: crystalline RbLiAgF3 at its relaxed geometry at the PBE level of DFT.

It has space group Cmcm (No. 63), with a = 6.2879 Å, b = 11.0479 Å, c = 5.7102 Å, α = 90.00°, β = 90.00° and γ = 90.00°. The asymmetric unit holds Rb at (0.0000, 0.2264, 0.2500), Li at (0.0000, 0.0589, 0.7500), Ag at (0.0000, 0.4481, 0.7500), F at (0.0000, 0.2314, 0.7500) and F at (0.2045, 0.0000, 0.0000).

The calculation puts the raw formation energy at -2.158 eV/atom. Its calculated volume is 99.2 Å³/f.u. The value obtained for the total moment is 0.0 Bohr magnetons per cell.